1.
## Li2ZrCl (PBE-GGA)

Data for a relaxed structure of Li2ZrCl.

Lattice parameters (Å, degrees): 5.955 5.955 5.955 100.89 100.89 128.48
Positions (direct):
1 Li 0.054 0.125 0.429
2 Li 0.375 0.946 0.071
3 Li 0.696 0.625 0.571
4 Li 0.875 0.304 0.929
5 Zr 0.250 0.750 0.500
6 Zr 0.500 0.500 0.000
7 Cl 0.000 0.000 0.000
8 Cl 0.750 0.250 0.500

Calculated values
offset from the most stable computed form: 439.1 meV/atom
space-group type: I-42d (122)
final energy: -14.846 eV/f.u.
crystal system: tetragonal
density of states at the Fermi level: 4.4 states/eV/f.u.

=====

2.
## Zn4Co3 (PBE-GGA)

Data for a relaxed structure of Zn4Co3.

Lattice parameters (Å, degrees): 12.188 12.188 12.188 167.20 167.20 18.13
Positions (direct):
1 Zn 0.067 0.067 0.000
2 Zn 0.350 0.350 0.000
3 Zn 0.650 0.650 0.000
4 Zn 0.933 0.933 0.000
5 Co 0.220 0.220 0.000
6 Co 0.500 0.500 0.000
7 Co 0.780 0.780 0.000

Calculated values
offset from the most stable computed form: 0.0 meV/atom
space-group type: I4/mmm (139)
final energy: -26.439 eV/f.u.
crystal system: tetragonal
density of states at the Fermi level: 6.6 states/eV/f.u.
formation energy from the elements: -4 meV per atom

=====

3.
## Na2Li3O2 (PBE-GGA)

Data for a relaxed structure of Na2Li3O2.

Lattice parameters (Å, degrees): 5.598 5.598 6.047 117.47 117.47 32.32
Positions (direct):
1 Na 0.156 0.156 0.292
2 Na 0.844 0.844 0.708
3 Li 0.333 0.333 0.091
4 Li 0.500 0.500 0.500
5 Li 0.667 0.667 0.909
6 O 0.171 0.171 0.723
7 O 0.829 0.829 0.277

Calculated values
space-group type: C2/m (12)
final energy: -26.462 eV/f.u.
crystal system: monoclinic
density of states at the Fermi level: 1.1 states/eV/f.u.

=====

4.
## Sm2DyLu (PBE-GGA)

Data for a relaxed structure of Sm2DyLu.

Lattice parameters (Å, degrees): 3.567 3.567 10.054 90.00 90.00 90.00
Positions (direct):
1 Sm 0.000 0.000 0.247
2 Sm 0.000 0.000 0.753
3 Dy 0.500 0.500 0.500
4 Lu 0.500 0.500 0.000

Calculated values
offset from the most stable computed form: 3.7 meV/atom
space-group type: P4/mmm (123)
final energy: -18.467 eV/f.u.
crystal system: tetragonal
density of states at the Fermi level: 5.7 states/eV/f.u.
formation energy from the elements: 24 meV per atom

=====

5.
## AlSeBr (PBE-GGA)

Data for a relaxed structure of AlSeBr.

Lattice parameters (Å, degrees): 6.839 3.848 8.153 90.00 90.24 90.00
Positions (direct):
1 Al 0.050 0.250 0.148
2 Al 0.950 0.750 0.852
3 Se 0.174 0.250 0.864
4 Se 0.826 0.750 0.136
5 Br 0.278 0.250 0.351
6 Br 0.722 0.750 0.649

Calculated values
space-group type: P2_1/m (11)
final energy: -11.880 eV/f.u.
crystal system: monoclinic
density of states at the Fermi level: 0.0 states/eV/f.u.

=====

6.
## BaYCuBiO5 (PBE-GGA)

Data for a relaxed structure of BaYCuBiO5.

Lattice parameters (Å, degrees): 3.937 3.937 9.271 90.00 90.00 90.00
Positions (direct):
1 Ba 0.000 0.000 0.000
2 Y 0.000 0.000 0.393
3 Cu 0.500 0.500 0.214
4 Bi 0.500 0.500 0.658
5 O 0.000 0.500 0.230
6 O 0.000 0.500 0.536
7 O 0.500 0.000 0.230
8 O 0.500 0.000 0.536
9 O 0.500 0.500 0.916

Calculated values
space-group type: P4mm (99)
final energy: -59.012 eV/f.u.
crystal system: tetragonal
density of states at the Fermi level: 2.3 states/eV/f.u.

=====

7.
## NaCa2InPd (PBE-GGA)

Data for a relaxed structure of NaCa2InPd.

Lattice parameters (Å, degrees): 5.579 5.579 5.255 90.00 90.00 90.00
Positions (direct):
1 Na 0.000 0.000 0.000
2 Ca 0.000 0.500 0.500
3 Ca 0.500 0.000 0.500
4 In 0.500 0.500 0.000
5 Pd 0.500 0.500 0.500

Calculated values
space-group type: P4/mmm (123)
final energy: -14.893 eV/f.u.
crystal system: tetragonal
density of states at the Fermi level: 4.0 states/eV/f.u.
formation energy from the elements: -328 meV per atom

=====

8.
## AlCr4Ru (PBE-GGA)

Data for a relaxed structure of AlCr4Ru.

Lattice parameters (Å, degrees): 4.749 4.749 4.749 60.00 60.00 60.00
Positions (direct):
1 Al 0.000 0.000 0.000
2 Cr 0.119 0.627 0.627
3 Cr 0.627 0.119 0.627
4 Cr 0.627 0.627 0.119
5 Cr 0.627 0.627 0.627
6 Ru 0.250 0.250 0.250

Calculated values
space-group type: F-43m (216)
final energy: -51.481 eV/f.u.
crystal system: cubic
density of states at the Fermi level: 8.7 states/eV/f.u.
formation energy from the elements: 5 meV per atom

=====

9.
## Tl12S5F (PBE-GGA)

Data for a relaxed structure of Tl12S5F.

Lattice parameters (Å, degrees): 7.136 7.136 13.099 95.64 95.64 119.68
Positions (direct):
1 Tl 0.049 0.365 0.130
2 Tl 0.119 0.119 0.369
3 Tl 0.214 0.545 0.635
4 Tl 0.268 0.268 0.872
5 Tl 0.365 0.049 0.130
6 Tl 0.455 0.786 0.365
7 Tl 0.545 0.214 0.635
8 Tl 0.635 0.951 0.870
9 Tl 0.732 0.732 0.128
10 Tl 0.786 0.455 0.365
11 Tl 0.881 0.881 0.631
12 Tl 0.951 0.635 0.870
13 S 0.170 0.830 0.500
14 S 0.332 0.668 0.000
15 S 0.500 0.500 0.500
16 S 0.668 0.332 0.000
17 S 0.830 0.170 0.500
18 F 0.000 0.000 0.000

Calculated values
space-group type: C2/m (12)
final energy: -58.995 eV/f.u.
crystal system: monoclinic
density of states at the Fermi level: 4.1 states/eV/f.u.

=====

10.
## PrYSc (PBE-GGA)

Data for a relaxed structure of PrYSc.

Lattice parameters (Å, degrees): 7.775 7.775 7.775 153.61 153.61 37.66
Positions (direct):
1 Pr 0.000 0.000 0.000
2 Y 0.680 0.680 0.000
3 Sc 0.338 0.338 0.000

Calculated values
offset from the most stable computed form: 8.4 meV/atom
space-group type: I4mm (107)
final energy: -17.404 eV/f.u.
crystal system: tetragonal
density of states at the Fermi level: 5.0 states/eV/f.u.
formation energy from the elements: 57 meV per atom

=====

11.
## AcTiBi2O6 (PBE-GGA)

Data for a relaxed structure of AcTiBi2O6.

Lattice parameters (Å, degrees): 5.880 5.887 5.891 64.23 64.24 64.23
Positions (direct):
1 Ac 0.000 0.000 0.000
2 Ti 0.484 0.484 0.484
3 Bi 0.257 0.258 0.258
4 Bi 0.711 0.711 0.710
5 O 0.173 0.714 0.388
6 O 0.334 0.606 0.845
7 O 0.388 0.172 0.714
8 O 0.606 0.845 0.335
9 O 0.715 0.388 0.173
10 O 0.845 0.334 0.606

Calculated values
space-group type: P1 (1)
final energy: -70.437 eV/f.u.
crystal system: triclinic
density of states at the Fermi level: 2.3 states/eV/f.u.

=====

12.
## HfRuW3 (PBE-GGA)

Data for a relaxed structure of HfRuW3.

Lattice parameters (Å, degrees): 4.710 4.710 4.710 90.00 90.00 90.00
Positions (direct):
1 Hf 0.000 0.000 0.000
2 Ru 0.500 0.500 0.500
3 W 0.000 0.000 0.500
4 W 0.000 0.500 0.000
5 W 0.500 0.000 0.000

Calculated values
offset from the most stable computed form: 1213.2 meV/atom
space-group type: Pm-3m (221)
final energy: -44.343 eV/f.u.
crystal system: cubic
density of states at the Fermi level: 6.4 states/eV/f.u.
formation energy from the elements: 2749 meV per atom

=====

13.
## LiAlZn3 (PBE-GGA)

Data for a relaxed structure of LiAlZn3.

Lattice parameters (Å, degrees): 9.697 9.697 3.988 90.00 90.00 156.23
Positions (direct):
1 Li 0.150 0.850 0.750
2 Li 0.850 0.150 0.250
3 Al 0.349 0.651 0.750
4 Al 0.651 0.349 0.250
5 Zn 0.049 0.951 0.250
6 Zn 0.250 0.750 0.250
7 Zn 0.449 0.551 0.250
8 Zn 0.551 0.449 0.750
9 Zn 0.750 0.250 0.750
10 Zn 0.951 0.049 0.750

Calculated values
offset from the most stable computed form: 0.0 meV/atom
space-group type: Cmcm (63)
final energy: -9.966 eV/f.u.
crystal system: orthorhombic
density of states at the Fermi level: 0.9 states/eV/f.u.
formation energy from the elements: -98 meV per atom

=====

14.
## Ce5Sc3As8 (PBE-GGA)

Data for a relaxed structure of Ce5Sc3As8.

Lattice parameters (Å, degrees): 8.175 8.175 8.175 60.24 60.24 60.24
Positions (direct):
1 Ce 0.000 0.000 0.000
2 Ce 0.000 0.500 0.500
3 Ce 0.500 0.000 0.500
4 Ce 0.500 0.500 0.000
5 Ce 0.500 0.500 0.500
6 Sc 0.000 0.000 0.500
7 Sc 0.000 0.500 0.000
8 Sc 0.500 0.000 0.000
9 As 0.236 0.750 0.750
10 As 0.244 0.244 0.244
11 As 0.250 0.250 0.764
12 As 0.250 0.764 0.250
13 As 0.750 0.236 0.750
14 As 0.750 0.750 0.236
15 As 0.756 0.756 0.756
16 As 0.764 0.250 0.250

Calculated values
space-group type: R-3m (166)
final energy: -107.932 eV/f.u.
crystal system: trigonal
density of states at the Fermi level: 26.1 states/eV/f.u.
formation energy from the elements: -1380 meV per atom

=====

15.
## SrBeHg2Au (PBE-GGA)

Data for a relaxed structure of SrBeHg2Au.

Lattice parameters (Å, degrees): 4.872 4.872 4.821 90.00 90.00 90.00
Positions (direct):
1 Sr 0.000 0.000 0.000
2 Be 0.500 0.500 0.500
3 Hg 0.000 0.500 0.500
4 Hg 0.500 0.000 0.500
5 Au 0.500 0.500 0.000

Calculated values
space-group type: P4/mmm (123)
final energy: -10.592 eV/f.u.
crystal system: tetragonal
density of states at the Fermi level: 1.7 states/eV/f.u.
formation energy from the elements: -261 meV per atom

=====

16.
## CdTcCl2 (PBE-GGA)

Data for a relaxed structure of CdTcCl2.

Lattice parameters (Å, degrees): 4.859 4.859 4.859 60.00 60.00 60.00
Positions (direct):
1 Cd 0.000 0.000 0.000
2 Tc 0.500 0.500 0.500
3 Cl 0.250 0.250 0.250
4 Cl 0.750 0.750 0.750

Calculated values
offset from the most stable computed form: 654.8 meV/atom
space-group type: Fm-3m (225)
final energy: -13.175 eV/f.u.
crystal system: cubic
density of states at the Fermi level: 3.9 states/eV/f.u.

=====

17.
## Zr2SiMo (PBE-GGA)

Data for a relaxed structure of Zr2SiMo.

Lattice parameters (Å, degrees): 3.059 3.059 8.357 90.00 90.00 107.46
Positions (direct):
1 Zr 0.000 0.000 0.243
2 Zr 0.000 0.000 0.757
3 Si 0.500 0.500 0.000
4 Mo 0.500 0.500 0.500

Calculated values
space-group type: Cmmm (65)
final energy: -34.052 eV/f.u.
crystal system: orthorhombic
density of states at the Fermi level: 4.0 states/eV/f.u.

=====

18.
## MgCdF (PBE-GGA)

Data for a relaxed structure of MgCdF.

Lattice parameters (Å, degrees): 15.037 3.030 3.030 59.98 90.00 90.00
Positions (direct):
1 Mg 0.000 0.000 0.000
2 Mg 0.500 0.219 0.219
3 Cd 0.324 0.884 0.884
4 Cd 0.676 0.884 0.884
5 F 0.076 0.333 0.333
6 F 0.924 0.333 0.333

Calculated values
space-group type: Amm2 (38)
final energy: -8.946 eV/f.u.
crystal system: orthorhombic
density of states at the Fermi level: 0.5 states/eV/f.u.

=====

19.
## Dy5Zn2Te (PBE-GGA)

Data for a relaxed structure of Dy5Zn2Te.

Lattice parameters (Å, degrees): 8.526 8.526 8.526 122.73 122.73 85.34
Positions (direct):
1 Dy 0.000 0.000 0.000
2 Dy 0.010 0.510 0.805
3 Dy 0.204 0.010 0.500
4 Dy 0.296 0.796 0.805
5 Dy 0.490 0.296 0.500
6 Dy 0.500 0.500 0.000
7 Dy 0.510 0.704 0.500
8 Dy 0.704 0.204 0.195
9 Dy 0.796 0.990 0.500
10 Dy 0.990 0.490 0.195
11 Zn 0.142 0.358 0.500
12 Zn 0.358 0.858 0.216
13 Zn 0.642 0.142 0.784
14 Zn 0.858 0.642 0.500
15 Te 0.250 0.250 0.000
16 Te 0.750 0.750 0.000

Calculated values
space-group type: I4/mcm (140)
final energy: -32.618 eV/f.u.
crystal system: tetragonal
density of states at the Fermi level: 8.1 states/eV/f.u.

=====

20.
## Er3In4Rh4 (PBE-GGA)

Data for a relaxed structure of Er3In4Rh4.

Lattice parameters (Å, degrees): 9.065 9.065 9.065 157.17 126.97 58.46
Positions (direct):
1 Er 0.000 0.000 0.000
2 Er 0.395 0.895 0.500
3 Er 0.605 0.105 0.500
4 In 0.026 0.334 0.691
5 In 0.357 0.666 0.691
6 In 0.643 0.334 0.309
7 In 0.974 0.666 0.309
8 Rh 0.251 0.251 0.000
9 Rh 0.292 0.500 0.792
10 Rh 0.708 0.500 0.208
11 Rh 0.749 0.749 0.000

Calculated values
space-group type: Immm (71)
final energy: -60.792 eV/f.u.
crystal system: orthorhombic
density of states at the Fermi level: 7.3 states/eV/f.u.
formation energy from the elements: -613 meV per atom

=====

21.
## LiZnCoCu (PBE-GGA)

Data for a relaxed structure of LiZnCoCu.

Lattice parameters (Å, degrees): 4.077 4.077 4.077 60.00 60.00 60.00
Positions (direct):
1 Li 0.000 0.000 0.000
2 Zn 0.250 0.250 0.250
3 Co 0.500 0.500 0.500
4 Cu 0.750 0.750 0.750

Calculated values
space-group type: F-43m (216)
final energy: -14.285 eV/f.u.
crystal system: cubic
density of states at the Fermi level: 3.9 states/eV/f.u.
formation energy from the elements: 26 meV per atom

=====

22.
## CaAs3Rh5 (PBE-GGA)

Data for a relaxed structure of CaAs3Rh5.

Lattice parameters (Å, degrees): 6.650 6.650 12.439 90.00 90.00 144.93
Positions (direct):
1 Ca 0.166 0.834 0.750
2 Ca 0.834 0.166 0.250
3 As 0.107 0.893 0.250
4 As 0.386 0.614 0.050
5 As 0.386 0.614 0.450
6 As 0.614 0.386 0.550
7 As 0.614 0.386 0.950
8 As 0.893 0.107 0.750
9 Rh 0.000 0.000 0.000
10 Rh 0.000 0.000 0.500
11 Rh 0.204 0.796 0.073
12 Rh 0.204 0.796 0.427
13 Rh 0.438 0.562 0.639
14 Rh 0.438 0.562 0.861
15 Rh 0.562 0.438 0.139
16 Rh 0.562 0.438 0.361
17 Rh 0.796 0.204 0.573
18 Rh 0.796 0.204 0.927

Calculated values
space-group type: Cmcm (63)
final energy: -57.722 eV/f.u.
crystal system: orthorhombic
density of states at the Fermi level: 4.8 states/eV/f.u.
formation energy from the elements: -557 meV per atom

=====

23.
## CrIn2Te (PBE-GGA)

Data for a relaxed structure of CrIn2Te.

Lattice parameters (Å, degrees): 5.206 5.206 5.206 60.00 60.00 60.00
Positions (direct):
1 Cr 0.000 0.000 0.000
2 In 0.250 0.250 0.250
3 In 0.500 0.500 0.500
4 Te 0.750 0.750 0.750

Calculated values
space-group type: F-43m (216)
final energy: -16.976 eV/f.u.
crystal system: cubic
density of states at the Fermi level: 1.9 states/eV/f.u.

=====

24.
## TlTc2Rh (PBE-GGA)

Data for a relaxed structure of TlTc2Rh.

Lattice parameters (Å, degrees): 9.309 9.309 9.309 17.79 17.79 17.79
Positions (direct):
1 Tl 0.000 0.000 0.000
2 Tc 0.244 0.244 0.244
3 Tc 0.756 0.756 0.756
4 Rh 0.500 0.500 0.500

Calculated values
offset from the most stable computed form: 286.8 meV/atom
space-group type: R-3m (166)
final energy: -28.316 eV/f.u.
crystal system: trigonal
density of states at the Fermi level: 5.8 states/eV/f.u.
formation energy from the elements: 533 meV per atom

=====

25.
## MgAlTeF2 (PBE-GGA)

Data for a relaxed structure of MgAlTeF2.

Lattice parameters (Å, degrees): 3.870 3.870 7.353 90.00 90.00 90.00
Positions (direct):
1 Mg 0.000 0.000 0.000
2 Al 0.000 0.000 0.500
3 Te 0.500 0.500 0.000
4 F 0.000 0.500 0.500
5 F 0.500 0.000 0.500

Calculated values
offset from the most stable computed form: 263.5 meV/atom
space-group type: P4/mmm (123)
final energy: -20.085 eV/f.u.
crystal system: tetragonal
density of states at the Fermi level: 1.8 states/eV/f.u.